Entry 1:
VASP calculation (GGA-PBE) on crystalline LaPm5Pr2Er at its relaxed geometry.

* spin magnetization: 0.0 μB per formula unit
* ρ: 6.88 g/cm3
* total energy: -80.891 eV for the cell shown

Cell and atoms, written as extended XYZ:
```
18
Lattice="-4.454 4.454 7.988 4.454 -4.454 7.988 4.454 4.454 -7.988" Properties=species:S:1:pos:R:3 pbc="T T T"
La 0.000 0.000 3.994
La 0.000 0.000 11.982
Pm 0.000 0.000 0.000
Pm 6.322 1.868 -2.213
Pm 1.868 2.587 -2.213
Pm 6.322 1.868 2.213
Pm 1.868 2.587 2.213
Pm 0.000 0.000 7.988
Pm 2.587 1.868 5.775
Pm -1.868 2.587 5.775
Pm 2.587 1.868 10.200
Pm -1.868 2.587 10.200
Pr 3.401 1.053 0.000
Pr 3.401 -1.053 7.988
Pr 1.053 5.508 0.000
Pr 1.053 3.401 7.988
Er 4.454 0.000 3.994
Er 0.000 4.454 3.994
```

Entry 2:
VASP calculation (GGA-PBE) on crystalline La3PmPrEr at its relaxed geometry.

* spin magnetization: 0.0 μB per formula unit
* ρ: 6.80 g/cm3
* total energy: -57.471 eV for the cell shown

Cell and atoms, written as extended XYZ:
```
12
Lattice="8.178 0.000 0.000 0.000 5.247 0.000 -3.327 0.000 9.905" Properties=species:S:1:pos:R:3 pbc="T T T"
La 1.239 1.312 0.433
La -0.399 1.312 5.361
La -1.238 3.935 7.838
La 6.089 1.312 2.067
La 5.250 3.935 4.544
La 3.612 3.935 9.472
Pm 3.651 3.935 1.256
Pm 1.201 1.312 8.649
Pr 0.426 3.935 2.911
Pr 4.425 1.312 6.994
Er 2.828 1.312 3.743
Er 2.023 3.935 6.162
```

Entry 3:
VASP calculation (GGA-PBE) on crystalline La4PmPrEr2 at its relaxed geometry.

* spin magnetization: 0.0 μB per formula unit
* ρ: 7.03 g/cm3
* total energy: -38.248 eV for the cell shown

Cell and atoms, written as extended XYZ:
```
8
Lattice="6.373 0.000 0.000 0.000 3.681 0.000 -2.128 0.000 11.843" Properties=species:S:1:pos:R:3 pbc="T T T"
La 1.063 0.000 2.893
La -0.012 1.840 8.942
La 4.256 1.840 2.900
La 3.182 0.000 8.950
Pm -1.064 0.000 5.921
Pr 2.122 1.840 5.921
Er 0.000 1.840 0.000
Er 3.186 0.000 0.000
```

Entry 4:
VASP calculation (GGA-PBE) on crystalline LaPm2PrEr2 at its relaxed geometry.

* spin magnetization: 0.0 μB per formula unit
* ρ: 7.38 g/cm3
* total energy: -55.890 eV for the cell shown

Cell and atoms, written as extended XYZ:
```
12
Lattice="7.087 0.000 0.000 0.000 9.968 0.000 0.000 0.000 5.758" Properties=species:S:1:pos:R:3 pbc="T T T"
La 0.000 0.000 0.000
La 3.544 4.984 2.879
Pm 1.764 3.320 0.000
Pm 1.780 8.304 2.879
Pm 5.307 1.664 2.879
Pm 5.323 6.648 0.000
Pr 0.000 4.984 2.879
Pr 3.544 0.000 0.000
Er 1.771 1.660 2.879
Er 1.773 6.644 0.000
Er 5.314 3.323 0.000
Er 5.316 8.307 2.879
```

Please write out number 2 again, unchanged.
VASP calculation (GGA-PBE) on crystalline La3PmPrEr at its relaxed geometry.

* spin magnetization: 0.0 μB per formula unit
* ρ: 6.80 g/cm3
* total energy: -57.471 eV for the cell shown

Cell and atoms, written as extended XYZ:
```
12
Lattice="8.178 0.000 0.000 0.000 5.247 0.000 -3.327 0.000 9.905" Properties=species:S:1:pos:R:3 pbc="T T T"
La 1.239 1.312 0.433
La -0.399 1.312 5.361
La -1.238 3.935 7.838
La 6.089 1.312 2.067
La 5.250 3.935 4.544
La 3.612 3.935 9.472
Pm 3.651 3.935 1.256
Pm 1.201 1.312 8.649
Pr 0.426 3.935 2.911
Pr 4.425 1.312 6.994
Er 2.828 1.312 3.743
Er 2.023 3.935 6.162
```

Repeat the second record exactly.
VASP calculation (GGA-PBE) on crystalline La3PmPrEr at its relaxed geometry.

* spin magnetization: 0.0 μB per formula unit
* ρ: 6.80 g/cm3
* total energy: -57.471 eV for the cell shown

Cell and atoms, written as extended XYZ:
```
12
Lattice="8.178 0.000 0.000 0.000 5.247 0.000 -3.327 0.000 9.905" Properties=species:S:1:pos:R:3 pbc="T T T"
La 1.239 1.312 0.433
La -0.399 1.312 5.361
La -1.238 3.935 7.838
La 6.089 1.312 2.067
La 5.250 3.935 4.544
La 3.612 3.935 9.472
Pm 3.651 3.935 1.256
Pm 1.201 1.312 8.649
Pr 0.426 3.935 2.911
Pr 4.425 1.312 6.994
Er 2.828 1.312 3.743
Er 2.023 3.935 6.162
```